HfSi2HgF: relaxed, PBE-GGA.

a b c (Å): 4.291 4.826 4.291
angles (deg): 90.00 90.00 90.00
Positions (direct):
Si (0.000, 0.000, 0.500)
Si (0.500, 0.000, 0.000)
Hf (0.500, 0.500, 0.500)
Hg (0.000, 0.500, 0.000)
F (0.000, 0.000, 0.000)

Its crystal system is tetragonal. Its space group is No. 123. As for the total magnetization: 0.0 μB per cell. As for the energy relative to the elements, uncorrected: 0.21 eV per formula unit.